[1]
DFT (PBE-GGA) results for Cs2PdNCl6 after structural relaxation.

abc: 7.564 7.564 7.564
angles: 126.55 126.55 78.98
Atoms (fractional coordinates):
Cs 0.250 0.750 0.500
Cs 0.750 0.250 0.500
Pd 0.000 0.000 0.000
N 0.500 0.500 0.000
Cl 0.200 0.200 0.000
Cl 0.265 0.265 0.529
Cl 0.265 0.735 0.000
Cl 0.735 0.265 0.000
Cl 0.735 0.735 0.471
Cl 0.800 0.800 0.000

The raw formation energy comes out at -0.549 eV per atom. Its space group is I4/mmm (139).


[2]
DFT (PBE-GGA) results for Cs2RbNCl6 after structural relaxation.

abc: 7.627 7.627 7.627
angles: 60.00 60.00 60.00
Atoms (fractional coordinates):
Cs 0.250 0.250 0.250
Cs 0.750 0.750 0.750
Rb 0.000 0.000 0.000
N 0.500 0.500 0.500
Cl 0.290 0.290 0.710
Cl 0.290 0.710 0.290
Cl 0.290 0.710 0.710
Cl 0.710 0.290 0.290
Cl 0.710 0.290 0.710
Cl 0.710 0.710 0.290

The raw formation energy comes out at -0.724 eV per atom. Its space group is Fm-3m (225).


[3]
DFT (PBE-GGA) results for CsS2NCl after structural relaxation.

abc: 4.202 4.202 8.002
angles: 90.00 90.00 90.00
Atoms (fractional coordinates):
Cs 0.000 0.000 0.000
S 0.000 0.500 0.500
S 0.500 0.000 0.500
N 0.500 0.500 0.500
Cl 0.500 0.500 0.000

The raw formation energy comes out at 0.457 eV per atom. Its space group is P4/mmm (123). The excess energy over the best structure of this formula in the dataset comes out at 0 kJ/mol of formula units.


[4]
DFT (PBE-GGA) results for CsS2NCl after structural relaxation.

abc: 7.374 7.374 6.185
angles: 90.00 90.00 90.00
Atoms (fractional coordinates):
Cs 0.000 0.000 0.000
S 0.000 0.500 0.000
S 0.500 0.000 0.000
N 0.500 0.500 0.500
Cl 0.000 0.000 0.500

The raw formation energy comes out at 1.547 eV per atom. Its space group is P4/mmm (123). The excess energy over the best structure of this formula in the dataset comes out at 526 kJ/mol of formula units.


[5]
DFT (PBE-GGA) results for Cs2SbNCl6 after structural relaxation.

abc: 7.652 7.652 7.652
angles: 120.22 120.22 89.62
Atoms (fractional coordinates):
Cs 0.250 0.750 0.500
Cs 0.750 0.250 0.500
Sb 0.000 0.000 0.000
N 0.500 0.500 0.000
Cl 0.235 0.235 0.000
Cl 0.236 0.236 0.472
Cl 0.236 0.764 0.000
Cl 0.764 0.236 0.000
Cl 0.764 0.764 0.528
Cl 0.765 0.765 0.000

The raw formation energy comes out at -0.740 eV per atom. Its space group is I4/mmm (139).


[6]
DFT (PBE-GGA) results for CsSe2NCl after structural relaxation.

abc: 5.106 5.106 5.912
angles: 90.00 90.00 90.00
Atoms (fractional coordinates):
Cs 0.000 0.000 0.000
Se 0.000 0.500 0.500
Se 0.500 0.000 0.500
N 0.500 0.500 0.000
Cl 0.500 0.500 0.500

The raw formation energy comes out at 0.846 eV per atom. Its space group is P4/mmm (123).


[7]
DFT (PBE-GGA) results for CsSeN2Cl after structural relaxation.

abc: 4.462 4.462 7.413
angles: 90.00 90.00 90.00
Atoms (fractional coordinates):
Cs 0.000 0.000 0.000
Se 0.000 0.000 0.500
N 0.000 0.500 0.000
N 0.500 0.000 0.000
Cl 0.500 0.500 0.500

The raw formation energy comes out at 2.333 eV per atom. Its space group is P4/mmm (123).


[8]
DFT (PBE-GGA) results for Cs2SiNCl6 after structural relaxation.

abc: 7.545 7.545 7.545
angles: 120.07 120.07 89.87
Atoms (fractional coordinates):
Cs 0.250 0.750 0.500
Cs 0.750 0.250 0.500
Si 0.000 0.000 0.000
N 0.500 0.500 0.000
Cl 0.210 0.210 0.000
Cl 0.210 0.210 0.421
Cl 0.210 0.790 0.000
Cl 0.790 0.210 0.000
Cl 0.790 0.790 0.000
Cl 0.790 0.790 0.579

The raw formation energy comes out at -0.867 eV per atom. Its space group is I4/mmm (139).


[9]
DFT (PBE-GGA) results for Cs2TaNCl6 after structural relaxation.

abc: 7.747 7.747 7.747
angles: 120.08 120.08 89.86
Atoms (fractional coordinates):
Cs 0.250 0.750 0.500
Cs 0.750 0.250 0.500
Ta 0.000 0.000 0.000
N 0.500 0.500 0.000
Cl 0.221 0.221 0.000
Cl 0.222 0.222 0.443
Cl 0.222 0.778 0.000
Cl 0.778 0.222 0.000
Cl 0.778 0.778 0.557
Cl 0.779 0.779 0.000

The raw formation energy comes out at -0.967 eV per atom. Its space group is I4/mmm (139).


[10]
DFT (PBE-GGA) results for Cs2TcNCl6 after structural relaxation.

abc: 7.673 7.673 7.673
angles: 60.00 60.00 60.00
Atoms (fractional coordinates):
Cs 0.250 0.250 0.250
Cs 0.750 0.750 0.750
Tc 0.000 0.000 0.000
N 0.500 0.500 0.500
Cl 0.219 0.219 0.781
Cl 0.219 0.781 0.219
Cl 0.219 0.781 0.781
Cl 0.781 0.219 0.219
Cl 0.781 0.219 0.781
Cl 0.781 0.781 0.219

The raw formation energy comes out at -0.724 eV per atom. Its space group is Fm-3m (225).


[11]
DFT (PBE-GGA) results for CsTeN2Cl after structural relaxation.

abc: 4.482 4.482 8.039
angles: 90.00 90.00 90.00
Atoms (fractional coordinates):
Cs 0.000 0.000 0.000
Te 0.000 0.000 0.500
N 0.000 0.500 0.000
N 0.500 0.000 0.000
Cl 0.500 0.500 0.500

The raw formation energy comes out at 2.172 eV per atom. Its space group is P4/mmm (123). The excess energy over the best structure of this formula in the dataset comes out at 140 kJ/mol of formula units.


[12]
DFT (PBE-GGA) results for CsTe2NCl after structural relaxation.

abc: 5.485 5.485 6.136
angles: 90.00 90.00 90.00
Atoms (fractional coordinates):
Cs 0.000 0.000 0.000
Te 0.000 0.500 0.500
Te 0.500 0.000 0.500
N 0.500 0.500 0.000
Cl 0.500 0.500 0.500

The raw formation energy comes out at 0.780 eV per atom. Its space group is P4/mmm (123).